Record 1
Entry from Alexandria via LeMat-Bulk: a relaxed SiTcN2F crystal (PBE-GGA).

## Properties
Crystal system   tetragonal
Calculated total energy   -32.6 eV/cell
Formation energy from raw total energies   0.345 eV/atom

Lattice parameters (Å, degrees): 3.9014 3.9014 4.0958 90.00 90.00 90.00
Space group P4/mmm (No. 123)
One atom of each set of equivalent atoms:
Si  0.0000  0.0000  0.0000 [1 per cell]
Tc  0.5000  0.5000  0.5000 [1 per cell]
N  0.0000  0.5000  0.5000 [2 per cell]
F  0.5000  0.5000  0.0000 [1 per cell]

***

Record 2
Entry from Alexandria via LeMat-Bulk: a relaxed Ac4TlTe2Br crystal (PBE-GGA).

## Properties
Crystal system   monoclinic
Calculated total energy   -35.8 eV/cell
Formation energy from raw total energies   -1.132 eV/atom

Lattice parameters (Å, degrees): 8.0413 4.7430 8.3241 90.00 109.41 90.00
Space group P2/m (No. 10)
One atom of each set of equivalent atoms:
Ac  0.2428  0.0000  0.2520 [2 per cell]
Ac  0.2439  0.5000  0.7432 [2 per cell]
Tl  0.0000  0.0000  0.5000 [1 per cell]
Te  0.0000  0.5000  0.0000 [1 per cell]
Te  0.5000  0.0000  0.0000 [1 per cell]
Br  0.5000  0.5000  0.5000 [1 per cell]

***

Record 3
Entry from Alexandria via LeMat-Bulk: a relaxed Mg3CuC crystal (PBE-GGA).

## Properties
Crystal system   cubic
Calculated total energy   -11.6 eV/cell
Formation energy   6.50 eV per formula unit

Lattice parameters (Å, degrees): 4.7309 4.7309 4.7309 90.00 90.00 90.00
Space group Pm-3m (No. 221)
One atom of each set of equivalent atoms:
Mg  0.0000  0.0000  0.5000 [3 per cell]
Cu  0.0000  0.0000  0.0000 [1 per cell]
C  0.5000  0.5000  0.5000 [1 per cell]

***

Q: Which of these has the highest calculated total energy?
A: Mg3CuC